# 1
LaFe2Hg | PBE | relaxed Values from VASP.

Cell and atoms, written as Quantum ESPRESSO input:
```
&SYSTEM
  ibrav = 0, nat = 4, ntyp = 3
/
ATOMIC_SPECIES
Hg 200.59 Hg.upf
Fe 55.84 Fe.upf
La 138.91 La.upf
ATOMIC_POSITIONS angstrom
Hg 3.079 1.158 0.596
Fe 0.478 0.180 0.093
Fe 1.587 -0.847 2.070
La 5.604 0.664 2.848
CELL_PARAMETERS angstrom
-0.697 0.244 3.126
1.040 -3.003 0.466
6.938 2.610 1.344
```

Computed properties:
As for the crystal system: tetragonal. For the final energy, the calculation gives -21.6 eV/f.u. The magnetic moment comes out at 4.578 Bohr magnetons per cell.

***

# 2
PmDyCoOs | PBE | relaxed Values from VASP.

Cell and atoms, written as Quantum ESPRESSO input:
```
&SYSTEM
  ibrav = 0, nat = 4, ntyp = 4
/
ATOMIC_SPECIES
Dy 162.50 Dy.upf
Os 190.23 Os.upf
Co 58.93 Co.upf
Pm 145.00 Pm.upf
ATOMIC_POSITIONS angstrom
Dy 0.000 0.000 0.000
Os 2.428 1.402 0.991
Co 7.284 4.205 2.973
Pm 4.856 2.803 1.982
CELL_PARAMETERS angstrom
4.856 0.000 0.000
2.428 4.205 0.000
2.428 1.402 3.965
```

Computed properties:
As for the crystal system: cubic. For the final energy, the calculation gives -27.7 eV/f.u. The magnetic moment comes out at 0.757 Bohr magnetons per cell.

***

# 3
Pr3CuHg | PBE | relaxed Values from VASP.

Cell and atoms, written as Quantum ESPRESSO input:
```
&SYSTEM
  ibrav = 0, nat = 10, ntyp = 3
/
ATOMIC_SPECIES
Pr 140.91 Pr.upf
Hg 200.59 Hg.upf
Cu 63.55 Cu.upf
ATOMIC_POSITIONS angstrom
Pr -10.228 -0.360 -0.133
Pr -6.657 0.194 2.256
Pr -5.984 -0.342 -1.379
Pr -9.358 1.468 -3.582
Pr -1.347 0.914 0.453
Pr -5.340 2.970 -2.973
Hg -10.624 -1.588 -3.207
Hg -4.416 2.000 0.262
Cu -6.600 0.509 -4.002
Cu -7.694 -1.794 0.340
CELL_PARAMETERS angstrom
-1.501 3.428 1.447
-5.867 0.424 -7.086
-8.046 -4.193 1.588
```

Computed properties:
For the distance to the lowest polymorph of the same formula, the calculation gives 0.64 eV/f.u. As for the crystal system: monoclinic. For the final energy, the calculation gives -19.1 eV/f.u. The magnetic moment comes out at 0.000 Bohr magnetons per cell.

***

Copy entry 1 word for word.
LaFe2Hg | PBE | relaxed Values from VASP.

Cell and atoms, written as Quantum ESPRESSO input:
```
&SYSTEM
  ibrav = 0, nat = 4, ntyp = 3
/
ATOMIC_SPECIES
Hg 200.59 Hg.upf
Fe 55.84 Fe.upf
La 138.91 La.upf
ATOMIC_POSITIONS angstrom
Hg 3.079 1.158 0.596
Fe 0.478 0.180 0.093
Fe 1.587 -0.847 2.070
La 5.604 0.664 2.848
CELL_PARAMETERS angstrom
-0.697 0.244 3.126
1.040 -3.003 0.466
6.938 2.610 1.344
```

Computed properties:
As for the crystal system: tetragonal. For the final energy, the calculation gives -21.6 eV/f.u. The magnetic moment comes out at 4.578 Bohr magnetons per cell.